First-principles (PBE) data for an optimized crystal structure of AsP3, as listed in the Alexandria database.

```
AsP3
1.0
6.938 0.000 0.000
-3.469 6.008 0.000
0.000 0.000 6.363
As P
4 12
Cartesian
0.000 0.000 0.000
0.000 0.000 3.182
0.000 4.006 1.591
3.469 2.003 4.773
-1.734 3.004 0.000
-1.734 3.004 3.182
0.000 2.122 4.773
-1.631 4.947 4.773
1.838 1.061 1.591
3.469 0.000 0.000
3.469 0.000 3.182
1.734 3.004 0.000
1.734 3.004 3.182
1.631 4.947 4.773
5.100 1.061 1.591
3.469 3.886 1.591
```

***

First-principles (PBE) data for an optimized crystal structure of AsP3, as listed in the Alexandria database.

```
AsP3
1.0
5.827 0.000 0.000
0.000 3.366 0.000
-1.835 0.000 5.795
As P
1 3
Cartesian
0.000 0.000 0.000
1.981 0.000 1.354
2.933 1.683 0.151
4.834 1.683 1.356
```

***

First-principles (PBE) data for an optimized crystal structure of AsP, as listed in the Alexandria database.

```
AsP
1.0
3.728 0.000 0.000
0.000 3.728 0.000
0.000 0.000 5.393
As P
2 2
Cartesian
0.932 0.932 0.207
2.796 2.796 5.186
0.932 0.932 2.571
2.796 2.796 2.822
```

***

First-principles (PBE) data for an optimized crystal structure of As5P, as listed in the Alexandria database.

```
As5P
1.0
5.764 -1.898 0.000
5.764 1.898 0.000
-0.029 0.000 5.537
As P
5 1
Cartesian
0.000 0.000 0.000
0.035 0.000 2.549
3.777 0.000 2.749
3.819 0.000 5.310
7.713 0.000 0.082
7.702 0.000 2.505
```

***

First-principles (PBE) data for an optimized crystal structure of AsP3, as listed in the Alexandria database.

```
AsP3
1.0
-1.676 2.162 4.660
1.676 -2.162 4.660
1.676 2.162 -4.660
As P
1 3
Cartesian
0.000 0.000 0.000
1.676 0.000 2.946
0.000 0.000 4.660
0.000 2.162 1.714
```

***

First-principles (PBE) data for an optimized crystal structure of AsP4, as listed in the Alexandria database.

```
AsP4
1.0
-3.523 3.523 1.656
3.523 -3.523 1.656
3.523 3.523 -1.656
As P
1 4
Cartesian
0.000 0.000 0.000
3.523 1.344 0.000
1.344 3.523 0.000
2.178 0.000 1.656
0.000 2.178 1.656
```

***

First-principles (PBE) data for an optimized crystal structure of AsP, as listed in the Alexandria database.

```
AsP
1.0
3.394 0.000 0.000
0.000 3.512 0.000
0.000 0.000 6.067
As P
2 2
Cartesian
0.848 0.000 1.092
2.545 0.000 4.976
0.848 1.756 3.932
2.545 1.756 2.135
```

***

First-principles (PBE) data for an optimized crystal structure of AsP3, as listed in the Alexandria database.

```
AsP3
1.0
3.390 0.000 0.000
-1.695 2.936 0.000
0.000 0.000 6.673
As P
1 3
Cartesian
0.000 0.000 0.000
0.000 0.000 3.337
1.695 0.979 1.758
1.695 0.979 4.916
```

***

| no. | ΔE_f (eV/f.u.) | distance to the lowest polymorph of the same formula (eV per formula unit) |
| --- | --- | --- |
| 1 | 1.4 | 1.13 |
| 2 | 0.2 | 0.00 |
| 3 | 0.3 | 0.23 |
| 4 | 0.8 | 0.00 |
| 5 | 2.3 | 2.09 |
| 6 | 2.8 | 0.67 |
| 7 | 0.8 | 0.64 |
| 8 | 1.7 | 1.44 |